Computed, not measured: KSr2O after structural relaxation at the PBE-GGA level of DFT.

```
4
Lattice="-1.016 -0.598 -3.688 -3.599 -1.144 -0.855 -4.661 9.869 -2.348" Properties=species:S:1:pos:R:3 pbc="T T T"
Sr -3.524 6.062 -2.044
Sr -5.753 2.066 -4.847
K 0.000 0.000 0.000
O -4.638 4.064 -3.446
```

Results
E_tot: -13.87 eV/cell
D(E_F): 2.257 states/eV/cell
Total moment: 0.000 μB/atom
Volume: 142.0 Å³/cell
Symmetry: No. 166


Computed, not measured: K2Sr2TaO6 after structural relaxation at the PBE-GGA level of DFT.

```
11
Lattice="6.108 0.047 0.099 -2.978 5.333 0.099 -1.076 -1.850 6.259" Properties=species:S:1:pos:R:3 pbc="T T T"
K 4.650 0.895 0.099
K -1.520 4.484 0.099
Sr -0.437 2.616 3.229
Sr 2.491 0.913 3.229
Ta -0.538 -0.925 3.130
O 1.732 2.978 4.408
O -1.418 0.507 4.271
O 0.321 0.552 2.050
O 1.142 -0.982 4.271
O 3.472 3.023 2.187
O 0.912 4.512 2.187
```

Results
E_tot: -73.06 eV/cell
D(E_F): 7.145 states/eV/cell
Total moment: 0.101 μB/atom
Volume: 207.0 Å³/cell
Symmetry: No. 12


Computed, not measured: K4SrTa3O12 after structural relaxation at the PBE-GGA level of DFT.

```
20
Lattice="7.303 0.000 0.000 -2.434 6.886 0.000 -2.434 -3.443 5.963" Properties=species:S:1:pos:R:3 pbc="T T T"
K 1.217 1.721 2.982
K -1.217 -1.721 2.982
K 3.652 0.000 0.000
K -1.217 3.443 0.000
Sr 0.000 0.000 0.000
Ta 2.434 -1.721 2.982
Ta 2.434 3.443 0.000
Ta -2.434 1.721 2.982
O -1.217 0.861 4.472
O 3.525 -2.493 4.318
O 1.344 -0.950 1.645
O 3.652 2.582 1.491
O 3.525 4.986 0.000
O 1.344 1.900 0.000
O 3.652 0.000 2.982
O -1.217 3.443 2.982
O 1.217 -0.861 4.472
O -3.525 2.493 4.318
O 1.217 4.304 1.491
O -1.344 0.950 1.645
```

Results
E_tot: -145.58 eV/cell
D(E_F): 12.429 states/eV/cell
Total moment: 0.157 μB/atom
Volume: 299.9 Å³/cell
Symmetry: No. 229


Computed, not measured: KSrTaO4 after structural relaxation at the PBE-GGA level of DFT.

```
14
Lattice="-2.321 -5.792 -2.026 4.680 -0.368 -4.310 4.690 -2.921 5.341" Properties=species:S:1:pos:R:3 pbc="T T T"
K 6.127 -6.629 0.151
K 0.922 -2.452 -1.146
Sr 3.642 -6.263 -2.579
Sr 3.407 -2.817 1.583
Ta 4.434 -3.082 -1.991
Ta 2.615 -5.999 0.995
O 3.332 -7.179 -0.281
O 5.857 -2.069 -2.686
O 3.717 -1.901 -0.715
O 1.192 -7.011 1.691
O 3.224 -3.777 -3.244
O 3.825 -5.303 2.249
O 5.096 -4.590 -1.143
O 1.953 -4.490 0.148
```

Results
E_tot: -106.31 eV/cell
D(E_F): 0.000 states/eV/cell
Total moment: 0.013 μB/atom
Volume: 319.8 Å³/cell
Symmetry: No. 11


Computed, not measured: KSr2TaO after structural relaxation at the PBE-GGA level of DFT.

```
5
Lattice="6.285 0.000 0.000 0.000 4.336 0.000 0.000 0.000 6.285" Properties=species:S:1:pos:R:3 pbc="T T T"
Sr 0.000 0.000 3.143
Sr 3.143 0.000 0.000
K 0.000 0.000 0.000
O 0.000 2.168 0.000
Ta 3.143 2.168 3.143
```

Results
E_tot: -16.33 eV/cell
D(E_F): 4.428 states/eV/cell
Total moment: 0.800 μB/atom
Volume: 171.3 Å³/cell
Symmetry: No. 123


Computed, not measured: KSr4Ta3O12 after structural relaxation at the PBE-GGA level of DFT.

```
20
Lattice="-6.506 3.088 -0.917 -0.071 -6.682 -2.839 1.512 -0.399 7.090" Properties=species:S:1:pos:R:3 pbc="T T T"
K 0.000 0.000 0.000
Sr -2.533 -1.996 1.667
Sr 0.756 -0.199 3.545
Sr -3.253 1.544 -0.459
Sr -0.035 -3.341 -1.419
Ta -2.497 1.345 3.086
Ta -3.289 -1.797 -1.878
Ta 0.721 -3.540 2.126
O -0.528 -2.868 3.669
O -3.618 1.948 4.472
O -1.376 0.741 1.701
O -4.537 -1.125 -0.335
O -4.765 -2.603 -2.721
O -1.812 -0.990 -1.035
O -4.142 0.446 2.147
O -0.924 -4.439 1.187
O -2.137 -0.425 4.149
O 1.044 -5.129 3.080
O -2.928 -3.567 -0.815
O 0.397 -1.951 1.171
```

Results
E_tot: -157.51 eV/cell
D(E_F): 0.000 states/eV/cell
Total moment: 0.000 μB/atom
Volume: 294.6 Å³/cell
Symmetry: No. 229


Number 1: formation energy (no corrections) -1.11 eV/atom. Number 2: formation energy (no corrections) -2.35 eV/atom. Number 3: formation energy (no corrections) -2.22 eV/atom. Number 4: formation energy (no corrections) -2.67 eV/atom. Number 5: formation energy (no corrections) 0.99 eV/atom. Number 6: formation energy (no corrections) -2.73 eV/atom.